[1]
First-principles (GGA-PBE) data for an optimized crystal structure of ZrIn2Pd, as listed in Alexandria via LeMat-Bulk.

Cell: 3.242 3.242 7.627 Å, 90.00 90.00 90.00°
Space group P4/mmm (No. 123)
Symmetry-distinct sites (fractional):
1 Zr 0.000 0.000 0.000 [1 per cell]
2 In 0.500 0.500 0.278 [2 per cell]
3 Pd 0.000 0.000 0.500 [1 per cell]

**Formation energy**: -0.43 eV per atom
**Calculated volume**: 20.0 Å³/atom

[2]
First-principles (GGA-PBE) data for an optimized crystal structure of ZrIn2Pd8, as listed in Alexandria via LeMat-Bulk.

Cell: 14.454 4.120 6.471 Å, 90.00 107.34 90.00°
Space group C2/m (No. 12)
Symmetry-distinct sites (fractional):
1 Zr 0.000 0.000 0.000 [2 per cell]
2 In 0.219 0.500 0.654 [4 per cell]
3 Pd 0.040 0.500 0.726 [4 per cell]
4 Pd 0.094 0.000 0.452 [4 per cell]
5 Pd 0.138 0.500 0.183 [4 per cell]
6 Pd 0.178 0.000 0.915 [4 per cell]

**Formation energy**: -0.54 eV per atom
**Calculated volume**: 16.7 Å³/atom

[3]
First-principles (GGA-PBE) data for an optimized crystal structure of ZrIn2Pd2, as listed in Alexandria via LeMat-Bulk.

Cell: 7.857 7.857 3.110 Å, 90.00 90.00 90.00°
Space group P4/mbm (No. 127)
Symmetry-distinct sites (fractional):
1 Zr 0.000 0.000 0.000 [2 per cell]
2 In 0.165 0.335 0.500 [4 per cell]
3 Pd 0.132 0.632 0.000 [4 per cell]

**Formation energy**: -0.43 eV per atom
**ΔE to the lowest computed polymorph**: 9.76 kJ/mol of atoms
**Calculated volume**: 19.2 Å³/atom

[4]
First-principles (GGA-PBE) data for an optimized crystal structure of Zr2InPd, as listed in Alexandria via LeMat-Bulk.

Cell: 4.293 4.293 4.371 Å, 90.00 90.00 90.00°
Space group P4/mmm (No. 123)
Symmetry-distinct sites (fractional):
1 Zr 0.000 0.500 0.000 [2 per cell]
2 In 0.000 0.000 0.500 [1 per cell]
3 Pd 0.500 0.500 0.500 [1 per cell]

**Formation energy**: -0.43 eV per atom
**Calculated volume**: 20.1 Å³/atom

[5]
First-principles (GGA-PBE) data for an optimized crystal structure of ZrIn3Pd6, as listed in Alexandria via LeMat-Bulk.

Cell: 4.695 7.884 9.994 Å, 71.42 89.85 89.90°
Space group P-1 (No. 2)
Symmetry-distinct sites (fractional):
1 Zr 0.249 0.064 0.123 [2 per cell]
2 In 0.250 0.472 0.900 [2 per cell]
3 In 0.250 0.656 0.312 [2 per cell]
4 In 0.251 0.236 0.509 [2 per cell]
5 Pd 0.249 0.556 0.604 [2 per cell]
6 Pd 0.249 0.947 0.415 [2 per cell]
7 Pd 0.250 0.158 0.824 [2 per cell]
8 Pd 0.250 0.362 0.213 [2 per cell]
9 Pd 0.250 0.859 0.722 [2 per cell]
10 Pd 0.251 0.763 0.020 [2 per cell]

**Formation energy**: -0.56 eV per atom
**Calculated volume**: 17.5 Å³/atom

[6]
First-principles (GGA-PBE) data for an optimized crystal structure of ZrIn4Pd5, as listed in Alexandria via LeMat-Bulk.

Cell: 3.376 3.376 16.079 Å, 90.00 90.00 90.00°
Space group P4/mmm (No. 123)
Symmetry-distinct sites (fractional):
1 Zr 0.000 0.000 0.000 [1 per cell]
2 In 0.000 0.000 0.200 [2 per cell]
3 In 0.000 0.000 0.400 [2 per cell]
4 Pd 0.500 0.500 0.094 [2 per cell]
5 Pd 0.500 0.500 0.302 [2 per cell]
6 Pd 0.500 0.500 0.500 [1 per cell]

**Formation energy**: -0.53 eV per atom
**Calculated volume**: 18.3 Å³/atom

[7]
First-principles (GGA-PBE) data for an optimized crystal structure of Zr3In2Pd4, as listed in Alexandria via LeMat-Bulk.

Cell: 8.121 4.690 8.855 Å, 90.00 90.05 90.00°
Space group C2/m (No. 12)
Symmetry-distinct sites (fractional):
1 Zr 0.000 0.000 0.000 [2 per cell]
2 Zr 0.167 0.500 0.418 [4 per cell]
3 In 0.167 0.500 0.775 [4 per cell]
4 Pd 0.000 0.000 0.340 [4 per cell]
5 Pd 0.167 0.500 0.086 [4 per cell]

**Formation energy**: -0.61 eV per atom
**Calculated volume**: 18.7 Å³/atom

[8]
First-principles (GGA-PBE) data for an optimized crystal structure of Zr2InPd, as listed in Alexandria via LeMat-Bulk.

Cell: 4.676 4.676 14.898 Å, 90.00 90.00 90.00°
Space group I4/mmm (No. 139)
Symmetry-distinct sites (fractional):
1 Zr 0.000 0.000 0.140 [4 per cell]
2 Zr 0.000 0.500 0.000 [4 per cell]
3 In 0.000 0.000 0.360 [4 per cell]
4 Pd 0.000 0.500 0.250 [4 per cell]

**Formation energy**: -0.43 eV per atom
**Calculated volume**: 20.4 Å³/atom

[9]
First-principles (GGA-PBE) data for an optimized crystal structure of Zr6In3Pd, as listed in Alexandria via LeMat-Bulk.

Cell: 5.238 9.144 10.894 Å, 90.00 117.27 90.00°
Space group P2_1/c (No. 14)
Symmetry-distinct sites (fractional):
1 Zr 0.013 0.202 0.439 [4 per cell]
2 Zr 0.373 0.128 0.238 [4 per cell]
3 Zr 0.386 0.678 0.461 [4 per cell]
4 In 0.116 0.079 0.742 [4 per cell]
5 In 0.500 0.000 0.500 [2 per cell]
6 Pd 0.000 0.000 0.000 [2 per cell]

**Formation energy**: -0.08 eV per atom
**Calculated volume**: 23.2 Å³/atom

[10]
First-principles (GGA-PBE) data for an optimized crystal structure of ZrInPd3, as listed in Alexandria via LeMat-Bulk.

Cell: 4.631 5.970 6.907 Å, 90.00 109.49 90.00°
Space group P2_1/m (No. 11)
Symmetry-distinct sites (fractional):
1 Zr 0.113 0.250 0.228 [2 per cell]
2 In 0.133 0.750 0.265 [2 per cell]
3 Pd 0.314 0.000 0.629 [4 per cell]
4 Pd 0.498 0.250 0.996 [2 per cell]

**Formation energy**: -0.52 eV per atom
**ΔE to the lowest computed polymorph**: 0.00 kJ/mol of atoms
**Calculated volume**: 18.0 Å³/atom

[11]
First-principles (GGA-PBE) data for an optimized crystal structure of Zr4In5Pd2, as listed in Alexandria via LeMat-Bulk.

Cell: 7.595 3.209 9.669 Å, 90.00 94.09 90.00°
Space group P2/m (No. 10)
Symmetry-distinct sites (fractional):
1 Zr 0.175 0.000 0.372 [2 per cell]
2 Zr 0.240 0.000 0.941 [2 per cell]
3 In 0.175 0.500 0.654 [2 per cell]
4 In 0.450 0.500 0.183 [2 per cell]
5 In 0.500 0.500 0.500 [1 per cell]
6 Pd 0.070 0.500 0.136 [2 per cell]

**Formation energy**: -0.41 eV per atom
**Calculated volume**: 21.4 Å³/atom

[12]
First-principles (GGA-PBE) data for an optimized crystal structure of ZrIn5Pd6, as listed in Alexandria via LeMat-Bulk.

Cell: 8.153 13.914 4.678 Å, 90.00 124.92 90.00°
Space group C2/m (No. 12)
Symmetry-distinct sites (fractional):
1 Zr 0.000 0.000 0.000 [2 per cell]
2 In 0.000 0.164 0.500 [4 per cell]
3 In 0.000 0.334 0.000 [4 per cell]
4 In 0.000 0.500 0.500 [2 per cell]
5 Pd 0.244 0.000 0.744 [4 per cell]
6 Pd 0.247 0.166 0.245 [8 per cell]

**Formation energy**: -0.54 eV per atom
**Calculated volume**: 18.1 Å³/atom

[13]
First-principles (GGA-PBE) data for an optimized crystal structure of Zr2InPd, as listed in Alexandria via LeMat-Bulk.

Cell: 4.099 4.099 20.956 Å, 90.00 90.00 90.00°
Space group I-42d (No. 122)
Symmetry-distinct sites (fractional):
1 Zr 0.248 0.250 0.125 [8 per cell]
2 In 0.000 0.000 0.000 [4 per cell]
3 Pd 0.000 0.000 0.500 [4 per cell]

**Formation energy**: 0.09 eV per atom
**Calculated volume**: 22.0 Å³/atom

[14]
First-principles (GGA-PBE) data for an optimized crystal structure of ZrInPd3, as listed in Alexandria via LeMat-Bulk.

Cell: 4.850 4.850 4.850 Å, 90.00 90.00 90.00°
Space group Pm-3m (No. 221)
Symmetry-distinct sites (fractional):
1 Zr 0.000 0.000 0.000 [1 per cell]
2 In 0.500 0.500 0.500 [1 per cell]
3 Pd 0.000 0.500 0.500 [3 per cell]

**Formation energy**: 0.50 eV per atom
**ΔE to the lowest computed polymorph**: 98.48 kJ/mol of atoms
**Calculated volume**: 22.8 Å³/atom

[15]
First-principles (GGA-PBE) data for an optimized crystal structure of Zr5In4Pd, as listed in Alexandria via LeMat-Bulk.

Cell: 3.144 3.144 21.669 Å, 90.00 90.00 90.00°
Space group P4/mmm (No. 123)
Symmetry-distinct sites (fractional):
1 Zr 0.000 0.000 0.000 [1 per cell]
2 Zr 0.000 0.000 0.206 [2 per cell]
3 Zr 0.000 0.000 0.412 [2 per cell]
4 In 0.500 0.500 0.103 [2 per cell]
5 In 0.500 0.500 0.310 [2 per cell]
6 Pd 0.500 0.500 0.500 [1 per cell]

**Formation energy**: -0.37 eV per atom
**Calculated volume**: 21.4 Å³/atom

[16]
First-principles (GGA-PBE) data for an optimized crystal structure of Zr3In2Pd8, as listed in Alexandria via LeMat-Bulk.

Cell: 5.3489 5.3489 29.6513 Å, 90.00 90.00 120.00°
Space group R-3m (No. 166, hexagonal axes)
Symmetry-distinct sites (fractional):
1 Zr 0.0000 0.0000 0.0000 [3 per cell]
2 Zr 0.0000 0.0000 0.1904 [6 per cell]
3 In 0.0000 0.0000 0.3680 [6 per cell]
4 Pd 0.0000 0.0000 0.2800 [6 per cell]
5 Pd 0.0023 0.5011 0.7770 [18 per cell]

**Formation energy**: -0.41 eV per atom
**Calculated volume**: 18.8 Å³/atom

[17]
First-principles (GGA-PBE) data for an optimized crystal structure of Zr3In2Pd3, as listed in Alexandria via LeMat-Bulk.

Cell: 8.1220 8.1220 5.5483 Å, 90.00 90.00 120.00°
Space group P6_3/mcm (No. 193)
Symmetry-distinct sites (fractional):
1 Zr 0.0000 0.2516 0.2500 [6 per cell]
2 In 0.3333 0.6667 0.0000 [4 per cell]
3 Pd 0.0000 0.3905 0.7500 [6 per cell]

**Formation energy**: -0.53 eV per atom
**Calculated volume**: 19.8 Å³/atom

[18]
First-principles (GGA-PBE) data for an optimized crystal structure of ZrInPd3, as listed in Alexandria via LeMat-Bulk.

Cell: 5.369 14.094 5.058 Å, 90.00 90.00 90.00°
Space group Cmcm (No. 63)
Symmetry-distinct sites (fractional):
1 Zr 0.000 0.191 0.250 [4 per cell]
2 In 0.000 0.428 0.750 [4 per cell]
3 Pd 0.000 0.000 0.000 [4 per cell]
4 Pd 0.249 0.354 0.250 [8 per cell]

**Formation energy**: -0.39 eV per atom
**ΔE to the lowest computed polymorph**: 12.40 kJ/mol of atoms
**Calculated volume**: 19.1 Å³/atom

[19]
First-principles (GGA-PBE) data for an optimized crystal structure of ZrIn2Pd, as listed in Alexandria via LeMat-Bulk.

Cell: 3.2239 3.2239 27.9647 Å, 90.00 90.00 120.00°
Space group R3m (No. 160, hexagonal axes)
Symmetry-distinct sites (fractional):
1 Zr 0.0000 0.0000 0.0000 [3 per cell]
2 In 0.0000 0.0000 0.2426 [3 per cell]
3 In 0.0000 0.0000 0.4251 [3 per cell]
4 Pd 0.0000 0.0000 0.8336 [3 per cell]

**Formation energy**: -0.26 eV per atom
**Calculated volume**: 21.0 Å³/atom

[20]
First-principles (GGA-PBE) data for an optimized crystal structure of ZrIn2Pd2, as listed in Alexandria via LeMat-Bulk.

Cell: 4.616 4.638 9.686 Å, 90.00 90.00 90.00°
Space group Pmmn (No. 59, origin choice 2)
Symmetry-distinct sites (fractional):
1 Zr 0.250 0.250 0.174 [2 per cell]
2 In 0.250 0.250 0.502 [2 per cell]
3 In 0.250 0.250 0.828 [2 per cell]
4 Pd 0.250 0.750 0.330 [2 per cell]
5 Pd 0.250 0.750 0.993 [2 per cell]

**Formation energy**: -0.53 eV per atom
**ΔE to the lowest computed polymorph**: 0.00 kJ/mol of atoms
**Calculated volume**: 20.7 Å³/atom